# 1
ScAl3Pt3 | PBE-GGA | relaxed

The value obtained for the magnetic moment is 0.000 μB/atom. Its formation energy from the elements is -8.8 kcal/mol of atoms. The total energy comes out at -5.479 eV per atom. The density of states at the Fermi level comes out at 0.943 states/eV per atom.

It has space group Pm-3n (No. 223), with a = 6.747 Å, b = 6.747 Å, c = 6.747 Å, α = 90.00°, β = 90.00° and γ = 90.00°. The inequivalent atoms are Sc at (0.000, 0.000, 0.000), Al at (0.000, 0.250, 0.500) and Pt at (0.000, 0.500, 0.250).

---

# 2
ScAlPt2 | PBE-GGA | relaxed

The value obtained for the magnetic moment is 0.000 μB/atom. Its formation energy from the elements is -25.8 kcal/mol of atoms. The total energy comes out at -6.658 eV per atom. The density of states at the Fermi level comes out at 0.435 states/eV per atom.

It has space group Pmmm (No. 47), with a = 2.929 Å, b = 3.165 Å, c = 6.978 Å, α = 90.00°, β = 90.00° and γ = 90.00°. The inequivalent atoms are Sc at (0.000, 0.000, 0.000), Al at (0.000, 0.000, 0.500) and Pt at (0.500, 0.500, 0.279).

---

# 3
ScAlPt3 | PBE-GGA | relaxed

The value obtained for the magnetic moment is 0.000 μB/atom. Its formation energy from the elements is 12.9 kcal/mol of atoms. The total energy comes out at -5.081 eV per atom. The distance to the lowest polymorph of the same formula is 867.7 meV/atom. The density of states at the Fermi level comes out at 0.900 states/eV per atom.

It has space group Pm-3m (No. 221), with a = 4.801 Å, b = 4.801 Å, c = 4.801 Å, α = 90.00°, β = 90.00° and γ = 90.00°. The inequivalent atoms are Sc at (0.000, 0.000, 0.000), Al at (0.500, 0.500, 0.500) and Pt at (0.000, 0.000, 0.500).

---

# 4
ScAl4Pt | PBE-GGA | relaxed

The value obtained for the magnetic moment is 0.000 μB/atom. Its formation energy from the elements is -5.7 kcal/mol of atoms. The total energy comes out at -4.804 eV per atom. The density of states at the Fermi level comes out at 0.836 states/eV per atom.

It has space group F-43m (No. 216), with a = 7.406 Å, b = 7.406 Å, c = 7.406 Å, α = 90.00°, β = 90.00° and γ = 90.00°. The inequivalent atoms are Sc at (0.000, 0.000, 0.000), Al at (0.126, 0.126, 0.626) and Pt at (0.250, 0.250, 0.250).

---

Volume readings, ordered: 307.2 64.7 110.6 406.2 Å³/cell